The following is a DFT calculation (PBE-GGA) of V2TcPt after structural relaxation.

- Calculated total energy: -35.991 eV per formula unit
- SG: No. 123
- Mass density: 11.5 g/cm3
- Energy of formation: -337 meV per atom

Cell: 4.0221 4.0221 3.5183 Å, 90.00 90.00 90.00°
Fractional positions:
V: 0.0000 0.5000 0.0000
V: 0.5000 0.0000 0.0000
Tc: 0.0000 0.0000 0.5000
Pt: 0.5000 0.5000 0.5000

The following is a DFT calculation (PBE-GGA) of AcGd2Bi after structural relaxation.

- Calculated total energy: -36.849 eV per formula unit
- Energy relative to the lowest polymorph listed for this composition: 0.221 eV/atom
- SG: No. 225
- Mass density: 9.5 g/cm3
- Energy of formation: -175 meV per atom

Cell: 5.6987 5.6987 5.6987 Å, 60.00 60.00 60.00°
Fractional positions:
Ac: 0.0000 0.0000 0.0000
Gd: 0.2500 0.2500 0.2500
Gd: 0.7500 0.7500 0.7500
Bi: 0.5000 0.5000 0.5000

The following is a DFT calculation (PBE-GGA) of UAgP2O8 after structural relaxation.

- Calculated total energy: -91.057 eV per formula unit
- SG: No. 164
- Mass density: 4.9 g/cm3

Cell: 5.4807 5.4807 6.9486 Å, 90.00 90.00 120.00°
Fractional positions:
U: 0.0000 0.0000 0.0000
Ag: 0.0000 0.0000 0.5000
P: 0.3333 0.6667 0.7219
P: 0.6667 0.3333 0.2781
O: 0.1810 0.3620 0.8141
O: 0.1810 0.8190 0.8141
O: 0.3333 0.6667 0.5081
O: 0.3620 0.1810 0.1859
O: 0.6380 0.8190 0.8141
O: 0.6667 0.3333 0.4919
O: 0.8190 0.1810 0.1859
O: 0.8190 0.6380 0.1859

The following is a DFT calculation (PBE-GGA) of Ba2Cd3Ag5 after structural relaxation.

- Calculated total energy: -22.990 eV per formula unit
- Energy relative to the lowest polymorph listed for this composition: 0.000 eV/atom
- SG: No. 72
- Mass density: 7.1 g/cm3
- Energy of formation: -214 meV per atom

Cell: 9.6726 9.6726 9.6726 Å, 107.27 86.60 139.68°
Fractional positions:
Ba: 0.1301 0.2286 0.3587
Ba: 0.3699 0.7286 0.0984
Ba: 0.6301 0.2714 0.9016
Ba: 0.8699 0.7714 0.6413
Cd: 0.1437 0.9017 0.0453
Cd: 0.2500 0.7500 0.5000
Cd: 0.3563 0.4017 0.7580
Cd: 0.6437 0.5983 0.2420
Cd: 0.7500 0.2500 0.5000
Cd: 0.8563 0.0983 0.9547
Ag: 0.0383 0.7500 0.2883
Ag: 0.1103 0.6592 0.7696
Ag: 0.2500 0.2500 0.0000
Ag: 0.3897 0.1592 0.5489
Ag: 0.4617 0.7500 0.7117
Ag: 0.5383 0.2500 0.2883
Ag: 0.6103 0.8408 0.4511
Ag: 0.7500 0.7500 0.0000
Ag: 0.8897 0.3408 0.2304
Ag: 0.9617 0.2500 0.7117

The following is a DFT calculation (PBE-GGA) of Pr2DySn3Rh4 after structural relaxation.

- Calculated total energy: -63.109 eV per formula unit
- SG: No. 115
- Mass density: 8.9 g/cm3
- Energy of formation: -753 meV per atom

Cell: 4.4313 4.4313 11.4546 Å, 90.00 90.00 90.00°
Fractional positions:
Pr: 0.0000 0.5000 0.2327
Pr: 0.5000 0.0000 0.7673
Dy: 0.0000 0.0000 0.5000
Sn: 0.0000 0.5000 0.8743
Sn: 0.5000 0.0000 0.1257
Sn: 0.5000 0.5000 0.5000
Rh: 0.0000 0.0000 0.0000
Rh: 0.0000 0.5000 0.6460
Rh: 0.5000 0.0000 0.3540
Rh: 0.5000 0.5000 0.0000

The following is a DFT calculation (PBE-GGA) of Cs3Cd4Hg after structural relaxation.

- Calculated total energy: -7.030 eV per formula unit
- SG: No. 44
- Mass density: 5.3 g/cm3
- Energy of formation: -63 meV per atom

Cell: 8.0119 8.0119 8.0119 Å, 130.41 119.77 81.68°
Fractional positions:
Cs: 0.0000 0.0000 0.0000
Cs: 0.4121 0.6593 0.7529
Cs: 0.9064 0.6593 0.2471
Cd: 0.0229 0.3353 0.6877
Cd: 0.4028 0.1608 0.7580
Cd: 0.4028 0.6448 0.2420
Cd: 0.6476 0.3353 0.3123
Hg: 0.6113 0.1113 0.5000

The following is a DFT calculation (PBE-GGA) of Rb2Cd2Ag after structural relaxation.

- Calculated total energy: -6.433 eV per formula unit
- Energy relative to the lowest polymorph listed for this composition: 0.068 eV/atom
- SG: No. 127
- Mass density: 4.6 g/cm3
- Energy of formation: 37 meV per atom

Cell: 7.7357 7.7357 6.0560 Å, 90.00 90.00 90.00°
Fractional positions:
Rb: 0.1813 0.3187 0.0000
Rb: 0.3187 0.8187 0.0000
Rb: 0.6813 0.1813 0.0000
Rb: 0.8187 0.6813 0.0000
Cd: 0.1382 0.6382 0.5000
Cd: 0.3618 0.1382 0.5000
Cd: 0.6382 0.8618 0.5000
Cd: 0.8618 0.3618 0.5000
Ag: 0.0000 0.0000 0.5000
Ag: 0.5000 0.5000 0.5000

The following is a DFT calculation (PBE-GGA) of LiCaYAl after structural relaxation.

- Calculated total energy: -14.802 eV per formula unit
- SG: No. 216
- Mass density: 2.6 g/cm3
- Energy of formation: -170 meV per atom

Cell: 5.2514 5.2514 5.2514 Å, 60.00 60.00 60.00°
Fractional positions:
Li: 0.0000 0.0000 0.0000
Ca: 0.7500 0.7500 0.7500
Y: 0.2500 0.2500 0.2500
Al: 0.5000 0.5000 0.5000

The following is a DFT calculation (PBE-GGA) of SmUSb after structural relaxation.

- Calculated total energy: -21.503 eV per formula unit
- SG: No. 12
- Mass density: 10.6 g/cm3

Cell: 8.6553 8.6553 4.7893 Å, 92.09 92.09 26.51°
Fractional positions:
Sm: 0.0744 0.0744 0.2527
Sm: 0.9256 0.9256 0.7473
U: 0.2580 0.2580 0.6740
U: 0.7420 0.7420 0.3260
Sb: 0.3938 0.3938 0.2365
Sb: 0.6062 0.6062 0.7635

The following is a DFT calculation (PBE-GGA) of Sr3PdPt after structural relaxation.

- Calculated total energy: -19.468 eV per formula unit
- Energy relative to the lowest polymorph listed for this composition: 0.000 eV/atom
- SG: No. 14
- Mass density: 5.8 g/cm3
- Energy of formation: -638 meV per atom

Cell: 9.5845 7.8309 8.9934 Å, 90.00 107.58 90.00°
Fractional positions:
Sr: 0.0518 0.0052 0.2148
Sr: 0.0518 0.4948 0.7148
Sr: 0.2889 0.6570 0.1131
Sr: 0.2889 0.8430 0.6131
Sr: 0.3501 0.1921 0.0140
Sr: 0.3501 0.3079 0.5140
Sr: 0.6499 0.6921 0.4860
Sr: 0.6499 0.8079 0.9860
Sr: 0.7111 0.1570 0.3869
Sr: 0.7111 0.3430 0.8869
Sr: 0.9482 0.5052 0.2852
Sr: 0.9482 0.9948 0.7852
Pd: 0.4090 0.5305 0.8390
Pd: 0.4090 0.9695 0.3390
Pd: 0.5910 0.0305 0.6610
Pd: 0.5910 0.4695 0.1610
Pt: 0.0521 0.1701 0.5205
Pt: 0.0521 0.3299 0.0205
Pt: 0.9479 0.6701 0.9795
Pt: 0.9479 0.8299 0.4795

The following is a DFT calculation (PBE-GGA) of CaAcCeDy after structural relaxation.

- Calculated total energy: -15.650 eV per formula unit
- SG: No. 216
- Mass density: 6.3 g/cm3
- Energy of formation: 249 meV per atom

Cell: 5.9570 5.9570 5.9570 Å, 60.00 60.00 60.00°
Fractional positions:
Ca: 0.0000 0.0000 0.0000
Ac: 0.7500 0.7500 0.7500
Ce: 0.5000 0.5000 0.5000
Dy: 0.2500 0.2500 0.2500

The following is a DFT calculation (PBE-GGA) of K2HfSc after structural relaxation.

- Calculated total energy: -13.074 eV per formula unit
- Energy relative to the lowest polymorph listed for this composition: 0.000 eV/atom
- SG: No. 122
- Mass density: 3.5 g/cm3
- Energy of formation: 1352 meV per atom

Cell: 7.5123 7.5123 7.5123 Å, 99.18 99.18 132.93°
Fractional positions:
K: 0.1202 0.6250 0.9952
K: 0.3750 0.3702 0.4952
K: 0.6298 0.1250 0.0048
K: 0.8750 0.8798 0.5048
Hf: 0.2500 0.7500 0.5000
Hf: 0.5000 0.5000 0.0000
Sc: 0.0000 0.0000 0.0000
Sc: 0.7500 0.2500 0.5000

The following is a DFT calculation (PBE-GGA) of MnZn2Ru after structural relaxation.

- Calculated total energy: -20.465 eV per formula unit
- Energy relative to the lowest polymorph listed for this composition: 0.179 eV/atom
- SG: No. 35
- Mass density: 8.4 g/cm3
- Energy of formation: 132 meV per atom

Cell: 2.6863 2.6863 8.5383 Å, 90.00 90.00 112.51°
Fractional positions:
Mn: 0.0000 0.0000 0.0000
Zn: 0.0000 0.0000 0.5127
Zn: 0.5000 0.5000 0.2486
Ru: 0.5000 0.5000 0.7662

The following is a DFT calculation (PBE-GGA) of K8Au2Se after structural relaxation.

- Calculated total energy: -22.995 eV per formula unit
- SG: No. 12
- Mass density: 2.5 g/cm3

Cell: 9.4879 9.4879 10.4224 Å, 103.19 103.19 34.56°
Fractional positions:
K: 0.0505 0.0505 0.2118
K: 0.1917 0.1917 0.5659
K: 0.3167 0.3167 0.9477
K: 0.4305 0.4305 0.3414
K: 0.5695 0.5695 0.6586
K: 0.6833 0.6833 0.0523
K: 0.8083 0.8083 0.4341
K: 0.9495 0.9495 0.7882
Au: 0.2409 0.2409 0.2503
Au: 0.7591 0.7591 0.7497
Se: 0.0000 0.0000 0.5000

The following is a DFT calculation (PBE-GGA) of GaFe2RhCl after structural relaxation.

- Calculated total energy: -24.828 eV per formula unit
- SG: No. 123
- Mass density: 5.0 g/cm3

Cell: 4.7684 4.7684 4.6738 Å, 90.00 90.00 90.00°
Fractional positions:
Ga: 0.0000 0.0000 0.0000
Fe: 0.0000 0.5000 0.5000
Fe: 0.5000 0.0000 0.5000
Rh: 0.5000 0.5000 0.5000
Cl: 0.5000 0.5000 0.0000

The following is a DFT calculation (PBE-GGA) of Ba3Se after structural relaxation.

- Calculated total energy: -12.947 eV per formula unit
- Energy relative to the lowest polymorph listed for this composition: 0.000 eV/atom
- SG: No. 166
- Mass density: 3.8 g/cm3

Cell: 12.1426 12.1426 12.1426 Å, 21.67 21.67 21.67°
Fractional positions:
Ba: 0.0000 0.0000 0.0000
Ba: 0.2220 0.2220 0.2220
Ba: 0.7780 0.7780 0.7780
Se: 0.5000 0.5000 0.5000

The following is a DFT calculation (PBE-GGA) of CoPHBr after structural relaxation.

- Calculated total energy: -17.616 eV per formula unit
- Energy relative to the lowest polymorph listed for this composition: 0.228 eV/atom
- SG: No. 1
- Mass density: 4.3 g/cm3

Cell: 3.5788 3.6561 6.0464 Å, 86.47 73.68 60.92°
Fractional positions:
Co: 0.0000 0.0000 0.0000
P: 0.3706 0.3274 0.9296
H: 0.2499 0.7312 0.7577
Br: 0.8086 0.0186 0.3933

The following is a DFT calculation (PBE-GGA) of YZn2Cl after structural relaxation.

- Calculated total energy: -12.697 eV per formula unit
- Energy relative to the lowest polymorph listed for this composition: 0.136 eV/atom
- SG: No. 44
- Mass density: 4.8 g/cm3

Cell: 5.7094 5.7094 5.7094 Å, 142.82 126.73 66.75°
Fractional positions:
Y: 0.0000 0.0000 0.0000
Zn: 0.2656 0.7656 0.5000
Zn: 0.5015 0.5015 0.0000
Cl: 0.7814 0.2814 0.5000

The following is a DFT calculation (PBE-GGA) of SnRu2C2 after structural relaxation.

- Calculated total energy: -35.200 eV per formula unit
- Energy relative to the lowest polymorph listed for this composition: 0.477 eV/atom
- SG: No. 127
- Mass density: 8.7 g/cm3
- Energy of formation: 1160 meV per atom

Cell: 6.5319 6.5319 3.0738 Å, 90.00 90.00 90.00°
Fractional positions:
Sn: 0.0000 0.0000 0.0000
Sn: 0.5000 0.5000 0.0000
Ru: 0.1446 0.3554 0.5000
Ru: 0.3554 0.8554 0.5000
Ru: 0.6446 0.1446 0.5000
Ru: 0.8554 0.6446 0.5000
C: 0.0805 0.5805 0.0000
C: 0.4195 0.0805 0.0000
C: 0.5805 0.9195 0.0000
C: 0.9195 0.4195 0.0000

The following is a DFT calculation (PBE-GGA) of Pm2ZnAg3 after structural relaxation.

- Calculated total energy: -21.095 eV per formula unit
- SG: No. 69
- Mass density: 8.3 g/cm3
- Energy of formation: -294 meV per atom

Cell: 9.5415 8.9559 5.8986 Å, 76.89 66.09 37.02°
Fractional positions:
Pm: 0.2471 0.7529 0.7529
Pm: 0.2500 0.2500 0.2500
Pm: 0.7500 0.7500 0.7500
Pm: 0.7529 0.2471 0.2471
Zn: 0.3335 0.3335 0.6665
Zn: 0.6665 0.6665 0.3335
Ag: 0.1700 0.1700 0.8300
Ag: 0.1713 0.6587 0.3413
Ag: 0.3413 0.8287 0.1713
Ag: 0.6587 0.1713 0.8287
Ag: 0.8287 0.3413 0.6587
Ag: 0.8300 0.8300 0.1700